Below is a geometry-optimized HfScPd structure, with properties calculated at the GGA-PBE level.

abc: 6.6848 5.6820 5.2118
angles: 75.57 55.40 49.03
Element x y z (fractional)
Hf1 0.1701 0.8299 0.1701
Hf2 0.8299 0.1701 0.8299
Sc1 0.3516 0.3516 0.6484
Sc2 0.6484 0.6484 0.3516
Pd1 0.2500 0.2500 0.2500
Pd2 0.7500 0.7500 0.7500

Calculated values
The value obtained for the excess energy over the best structure of this formula in the dataset is 0.000 eV per atom. As for the space-group type: Fmmm (69). The calculation puts the uncorrected energy at -7.66 eV per atom. The formation energy is -0.499 eV per atom. As for the spin magnetization: 0.000 μB per atom.